Entry 1:
Density functional theory data (GGA-PBE) for crystalline NdSn2O4 at its relaxed geometry.

```
NdSn2O4
1.0
0.000 4.939 4.939
4.939 0.000 4.939
4.939 4.939 0.000
Nd Sn O
2 4 8
Direct
0.125 0.125 0.125 Nd
0.875 0.875 0.875 Nd
0.000 0.500 0.500 Sn
0.500 0.000 0.500 Sn
0.500 0.500 0.000 Sn
0.500 0.500 0.500 Sn
0.257 0.257 0.257 O
0.257 0.257 0.728 O
0.257 0.728 0.257 O
0.272 0.743 0.743 O
0.728 0.257 0.257 O
0.743 0.272 0.743 O
0.743 0.743 0.272 O
0.743 0.743 0.743 O
```

Results
Its space group is Fd-3m, No. 227. The magnetization is 1.000 μB/f.u. Its crystal system is cubic.

***

Entry 2:
Density functional theory data (GGA-PBE) for crystalline NdZn3Sn4O12 at its relaxed geometry.

```
NdZn3Sn4O12
1.0
-3.918 3.918 3.918
3.918 -3.918 3.918
3.918 3.918 -3.918
Nd Zn Sn O
1 3 4 12
Direct
0.000 0.000 0.000 Nd
0.000 0.500 0.500 Zn
0.500 0.000 0.500 Zn
0.500 0.500 0.000 Zn
0.000 0.000 0.500 Sn
0.000 0.500 0.000 Sn
0.500 0.000 0.000 Sn
0.500 0.500 0.500 Sn
0.130 0.301 0.829 O
0.171 0.472 0.301 O
0.171 0.870 0.699 O
0.301 0.171 0.472 O
0.301 0.829 0.130 O
0.472 0.301 0.171 O
0.528 0.699 0.829 O
0.699 0.171 0.870 O
0.699 0.829 0.528 O
0.829 0.130 0.301 O
0.829 0.528 0.699 O
0.870 0.699 0.171 O
```

Results
Its space group is Im-3, No. 204. The magnetization is 0.000 μB/f.u. Its crystal system is cubic.

***

Electronic total energy in eV per atom, matching the order above: -6.350; -5.876